{"formula": "La3PrNd2Sm6", "functional": "GGA-PBE", "state": "relaxed", "cell": [[6.3836, -0.0043, 0.0043], [-3.1940, 5.5271, 0.0043], [-1.0769, -1.8646, 11.9255]], "species": ["Sm", "Sm", "Sm", "Sm", "Sm", "Sm", "Nd", "Nd", "La", "La", "La", "Pr"], "fractional_positions": [[0.9175, 0.5839, 0.7516], [0.7489, 0.7489, 0.2484], [0.4161, 0.0825, 0.2484], [0.5839, 0.9175, 0.7516], [0.0825, 0.4161, 0.2484], [0.2511, 0.2511, 0.7516], [0.6668, 0.3332, 0.0000], [0.3332, 0.6668, 0.0000], [0.1669, 0.8331, 0.5000], [0.5000, 0.5000, 0.5000], [0.8331, 0.1669, 0.5000], [0.0000, 0.0000, 0.0000]], "formation_energy_mev_per_atom": 13, "e_tot_ev_per_cell": -57.26, "n_ef_per_ev_cell": 18.53, "magnetic_moment_mub_per_cell": 0.000, "space_group": "No. 12"}



{"formula": "La2Pr4Nd2Sm", "functional": "GGA-PBE", "state": "relaxed", "cell": [[3.7371, 0.0000, 0.0000], [-1.8686, 9.6927, -0.4736], [0.0000, -3.8622, 9.1588]], "species": ["Sm", "La", "La", "Pr", "Pr", "Pr", "Pr", "Nd", "Nd"], "fractional_positions": [[0.0000, 0.0000, 0.0000], [0.6661, 0.3322, 0.9993], [0.3339, 0.6678, 0.0007], [0.1847, 0.3694, 0.3322], [0.8153, 0.6306, 0.6678], [0.5180, 0.0360, 0.3318], [0.4820, 0.9640, 0.6682], [0.8514, 0.7029, 0.3320], [0.1486, 0.2971, 0.6680]], "formation_energy_mev_per_atom": 9, "e_tot_ev_per_cell": -43.15, "n_ef_per_ev_cell": 13.06, "magnetic_moment_mub_per_cell": 0.000, "space_group": "No. 12"}



{"formula": "LaPrNd2Sm4", "functional": "GGA-PBE", "state": "relaxed", "cell": [[3.6804, 0.0000, 0.0000], [0.0000, 6.3351, -0.4442], [0.0000, 3.0068, 11.7787]], "species": ["Sm", "Sm", "Sm", "Sm", "Nd", "Nd", "Pr", "La"], "fractional_positions": [[0.0000, 0.7504, 0.7491], [0.5000, 0.2499, 0.7498], [0.5000, 0.7501, 0.2502], [0.0000, 0.2496, 0.2509], [0.0000, 0.0000, 0.0000], [0.5000, 0.0000, 0.5000], [0.0000, 0.5000, 0.5000], [0.5000, 0.5000, 0.0000]], "formation_energy_mev_per_atom": 15, "e_tot_ev_per_cell": -38.00, "n_ef_per_ev_cell": 12.91, "magnetic_moment_mub_per_cell": 0.000, "space_group": "No. 10"}



{"formula": "LaPrNdSm2", "functional": "GGA-PBE", "state": "relaxed", "cell": [[-1.9366, -6.2734, -1.4404], [5.9128, -3.0568, 5.3638], [-4.6087, 0.4243, 4.3483]], "species": ["Nd", "Nd", "Sm", "Sm", "Sm", "Sm", "Pr", "Pr", "La", "La"], "fractional_positions": [[0.4323, 0.0000, 0.7500], [0.5677, 0.0000, 0.2500], [0.6841, 0.6904, 0.7829], [0.6841, 0.3096, 0.7171], [0.3159, 0.3096, 0.2171], [0.3159, 0.6904, 0.2829], [0.1637, 0.5000, 0.7500], [0.8363, 0.5000, 0.2500], [0.0000, 0.0000, 0.0000], [0.0000, 0.0000, 0.5000]], "formation_energy_mev_per_atom": 248, "e_tot_ev_per_cell": -45.34, "n_ef_per_ev_cell": 15.24, "magnetic_moment_mub_per_cell": 0.000, "space_group": "No. 13"}



{"formula": "La2Pr5NdSm", "functional": "GGA-PBE", "state": "relaxed", "cell": [[8.8832, 0.0000, 0.0000], [0.0000, 8.8832, 0.0000], [-4.4416, -4.4416, 8.2449]], "species": ["Pr", "Pr", "Pr", "Pr", "Pr", "Pr", "Pr", "Pr", "Pr", "Pr", "Sm", "Sm", "La", "La", "La", "La", "Nd", "Nd"], "fractional_positions": [[0.0726, 0.5726, 0.7159], [0.9274, 0.4274, 0.2841], [0.0000, 0.0000, 0.0000], [0.3567, 0.8567, 0.2841], [0.1433, 0.0726, 0.7159], [0.6433, 0.1433, 0.7159], [0.5726, 0.6433, 0.7159], [0.8567, 0.9274, 0.2841], [0.5000, 0.5000, 0.0000], [0.4274, 0.3567, 0.2841], [0.7500, 0.2500, 0.5000], [0.2500, 0.7500, 0.5000], [0.1194, 0.3806, 0.0000], [0.3806, 0.8806, 0.0000], [0.8806, 0.6194, 0.0000], [0.6194, 0.1194, 0.0000], [0.2500, 0.2500, 0.5000], [0.7500, 0.7500, 0.5000]], "formation_energy_mev_per_atom": 234, "e_tot_ev_per_cell": -82.27, "n_ef_per_ev_cell": 30.52, "magnetic_moment_mub_per_cell": 0.000, "space_group": "No. 140"}



{"formula": "La2Pr4NdSm2", "functional": "GGA-PBE", "state": "relaxed", "cell": [[3.7333, 0.0000, 0.0000], [-1.8666, 9.6776, -0.4945], [0.0000, -3.8462, 9.1410]], "species": ["Pr", "Pr", "Pr", "Pr", "Sm", "Sm", "La", "La", "Nd"], "fractional_positions": [[0.5184, 0.0368, 0.3344], [0.4816, 0.9632, 0.6656], [0.8146, 0.6291, 0.6673], [0.1854, 0.3709, 0.3327], [0.8514, 0.7028, 0.3323], [0.1486, 0.2972, 0.6677], [0.3333, 0.6667, 0.0015], [0.6667, 0.3333, 0.9985], [0.0000, 0.0000, 0.0000]], "formation_energy_mev_per_atom": 7, "e_tot_ev_per_cell": -43.12, "n_ef_per_ev_cell": 13.21, "magnetic_moment_mub_per_cell": 0.000, "space_group": "No. 12"}



{"formula": "LaPr2NdSm4", "functional": "GGA-PBE", "state": "relaxed", "cell": [[-0.9500, -3.0849, 1.7789], [3.6108, 1.7365, 4.9398], [-8.1131, 6.2659, 6.5335]], "species": ["Sm", "Sm", "Sm", "Sm", "Pr", "Pr", "La", "Nd"], "fractional_positions": [[0.0000, 0.7503, 0.7490], [0.0000, 0.2497, 0.2510], [0.5000, 0.7492, 0.2507], [0.5000, 0.2508, 0.7493], [0.0000, 0.0000, 0.0000], [0.5000, 0.0000, 0.5000], [0.5000, 0.5000, 0.0000], [0.0000, 0.5000, 0.5000]], "formation_energy_mev_per_atom": 15, "e_tot_ev_per_cell": -38.01, "n_ef_per_ev_cell": 12.86, "magnetic_moment_mub_per_cell": 0.000, "space_group": "No. 10"}



{"formula": "La2PrNd5Sm", "functional": "GGA-PBE", "state": "relaxed", "cell": [[8.8757, 0.0000, 0.0000], [0.0000, 8.8757, 0.0000], [-4.4378, -4.4378, 8.1581]], "species": ["Nd", "Nd", "Nd", "Nd", "Nd", "Nd", "Nd", "Nd", "Nd", "Nd", "La", "La", "La", "La", "Pr", "Pr", "Sm", "Sm"], "fractional_positions": [[0.5730, 0.6445, 0.7175], [0.0000, 0.0000, 0.0000], [0.0730, 0.5730, 0.7175], [0.9270, 0.4270, 0.2825], [0.5000, 0.5000, 0.0000], [0.3555, 0.8555, 0.2825], [0.1445, 0.0730, 0.7175], [0.8555, 0.9270, 0.2825], [0.6445, 0.1445, 0.7175], [0.4270, 0.3555, 0.2825], [0.1188, 0.3812, 0.0000], [0.6188, 0.1188, 0.0000], [0.8812, 0.6188, 0.0000], [0.3812, 0.8812, 0.0000], [0.2500, 0.2500, 0.5000], [0.7500, 0.7500, 0.5000], [0.2500, 0.7500, 0.5000], [0.7500, 0.2500, 0.5000]], "formation_energy_mev_per_atom": 234, "e_tot_ev_per_cell": -82.17, "n_ef_per_ev_cell": 29.80, "magnetic_moment_mub_per_cell": 0.000, "space_group": "No. 140"}



{"formula": "La2PrNd6Sm3", "functional": "GGA-PBE", "state": "relaxed", "cell": [[-1.4524, -0.6407, 6.1876], [1.3875, -5.1558, -3.5070], [11.6453, 3.1377, 1.9500]], "species": ["Nd", "Nd", "Nd", "Nd", "Nd", "Nd", "Pr", "Sm", "Sm", "Sm", "La", "La"], "fractional_positions": [[0.9152, 0.5820, 0.7467], [0.4180, 0.0848, 0.2533], [0.0848, 0.4180, 0.2533], [0.2487, 0.2487, 0.7468], [0.5820, 0.9152, 0.7467], [0.7513, 0.7513, 0.2532], [0.0000, 0.0000, 0.0000], [0.8334, 0.1666, 0.5000], [0.1666, 0.8334, 0.5000], [0.5000, 0.5000, 0.5000], [0.3333, 0.6667, 0.0000], [0.6667, 0.3333, 0.0000]], "formation_energy_mev_per_atom": 16, "e_tot_ev_per_cell": -57.21, "n_ef_per_ev_cell": 21.03, "magnetic_moment_mub_per_cell": 0.000, "space_group": "No. 12"}



{"formula": "La2PrNdSm6", "functional": "GGA-PBE", "state": "relaxed", "cell": [[-7.2596, -2.4398, 6.7035], [-5.1406, -1.0222, -7.1941], [5.4378, -6.6955, 2.1971]], "species": ["Sm", "Sm", "Sm", "Sm", "Sm", "Sm", "Sm", "Sm", "Sm", "Sm", "Sm", "Sm", "La", "La", "La", "La", "Nd", "Nd", "Pr", "Pr"], "fractional_positions": [[0.8792, 0.2998, 0.5066], [0.6880, 0.0230, 0.5792], [0.1880, 0.5792, 0.0230], [0.3120, 0.9770, 0.4208], [0.8120, 0.4208, 0.9770], [0.4437, 0.2655, 0.8817], [0.3792, 0.5066, 0.2998], [0.0563, 0.1183, 0.7345], [0.9437, 0.8817, 0.2655], [0.1208, 0.7002, 0.4934], [0.6208, 0.4934, 0.7002], [0.5563, 0.7345, 0.1183], [0.9597, 0.7155, 0.8118], [0.4597, 0.8118, 0.7155], [0.0403, 0.2845, 0.1882], [0.5403, 0.1882, 0.2845], [0.2500, 0.4041, 0.5959], [0.7500, 0.5959, 0.4041], [0.7500, 0.0107, 0.9893], [0.2500, 0.9893, 0.0107]], "formation_energy_mev_per_atom": 114, "e_tot_ev_per_cell": -93.16, "n_ef_per_ev_cell": 31.80, "magnetic_moment_mub_per_cell": 0.000, "space_group": "No. 15"}



{"formula": "La2PrNd6Sm", "functional": "GGA-PBE", "state": "relaxed", "cell": [[-6.8242, -4.9008, -5.8245], [6.0259, 1.1052, -6.5490], [1.2358, -6.7997, 5.7147]], "species": ["Nd", "Nd", "Nd", "Nd", "Nd", "Nd", "Nd", "Nd", "Nd", "Nd", "Nd", "Nd", "La", "La", "La", "La", "Pr", "Pr", "Sm", "Sm"], "fractional_positions": [[0.4446, 0.2627, 0.8821], [0.9446, 0.8821, 0.2627], [0.0554, 0.1179, 0.7373], [0.1882, 0.5778, 0.0194], [0.8794, 0.2999, 0.5051], [0.3118, 0.9806, 0.4222], [0.6882, 0.0194, 0.5778], [0.1206, 0.7001, 0.4949], [0.5554, 0.7373, 0.1179], [0.6206, 0.4949, 0.7001], [0.8118, 0.4222, 0.9806], [0.3794, 0.5051, 0.2999], [0.4592, 0.8098, 0.7138], [0.5408, 0.1902, 0.2862], [0.0408, 0.2862, 0.1902], [0.9592, 0.7138, 0.8098], [0.2500, 0.9884, 0.0116], [0.7500, 0.0116, 0.9884], [0.2500, 0.4046, 0.5954], [0.7500, 0.5954, 0.4046]], "formation_energy_mev_per_atom": 108, "e_tot_ev_per_cell": -93.77, "n_ef_per_ev_cell": 31.66, "magnetic_moment_mub_per_cell": 0.000, "space_group": "No. 15"}



{"formula": "La2Pr2Nd4Sm", "functional": "GGA-PBE", "state": "relaxed", "cell": [[-3.3566, -1.4678, -0.7105], [3.9398, -7.0213, 5.6926], [-4.3052, 7.4775, 4.8913]], "species": ["Nd", "Nd", "Nd", "Nd", "La", "La", "Pr", "Pr", "Sm"], "fractional_positions": [[0.5185, 0.0371, 0.3308], [0.8152, 0.6304, 0.6670], [0.4815, 0.9629, 0.6692], [0.1848, 0.3696, 0.3330], [0.3341, 0.6682, 0.0002], [0.6659, 0.3318, 0.9998], [0.1478, 0.2957, 0.6667], [0.8522, 0.7043, 0.3333], [0.0000, 0.0000, 0.0000]], "formation_energy_mev_per_atom": 8, "e_tot_ev_per_cell": -43.13, "n_ef_per_ev_cell": 13.03, "magnetic_moment_mub_per_cell": 0.000, "space_group": "No. 12"}